The following is a DFT calculation (GGA-PBE) of crystalline Re2TcNi at its relaxed geometry.

Cell: 4.651 4.651 4.651 Å, 131.19 131.19 71.51°
Positions (direct):
Re: 0.000 0.000 0.000
Re: 0.750 0.250 0.500
Tc: 0.250 0.750 0.500
Ni: 0.500 0.500 0.000

Results
The calculated density comes out at 15.758 g/cm³. As for the space-group type: I-4m2. The value obtained for the formation energy is 0.03 eV/atom.